[1]
A plane-wave DFT calculation with PBE was carried out for an optimized crystal structure of LuAgSnTe3.

Lattice parameters (Å, degrees): 7.620 7.620 11.062 90.00 90.00 147.30
Fractional coordinates of all 12 atoms:
Lu: 0.000 0.000 0.000
Lu: 0.000 0.000 0.500
Ag: 0.471 0.529 0.750
Ag: 0.529 0.471 0.250
Sn: 0.230 0.770 0.250
Sn: 0.770 0.230 0.750
Te: 0.096 0.904 0.750
Te: 0.354 0.646 0.551
Te: 0.354 0.646 0.949
Te: 0.646 0.354 0.051
Te: 0.646 0.354 0.449
Te: 0.904 0.096 0.250

Summary:
E_tot ... -0.300 Ry/atom
Space group ... No. 63
Total moment ... 0.0 μB/f.u.



[2]
A plane-wave DFT calculation with PBE was carried out for an optimized crystal structure of SmScTl.

Lattice parameters (Å, degrees): 5.338 5.338 6.556 90.00 90.00 120.00
Fractional coordinates of all 6 atoms:
Sm: 0.333 0.667 0.250
Sm: 0.667 0.333 0.750
Sc: 0.000 0.000 0.000
Sc: 0.000 0.000 0.500
Tl: 0.333 0.667 0.750
Tl: 0.667 0.333 0.250

Summary:
E_tot ... -0.346 Ry/atom
Space group ... No. 194
Total moment ... 0.9 μB/f.u.



> E_tot of number 2 (SmScTl)?

-0.346 Ry/atom



> Number 1 is which compound?

LuAgSnTe3



> Among the records above, which one has the lowest E_tot?

SmScTl